Model w:
! Li2TaRe GGA-PBEsol optimized geometry; values from VASP
! SG = No. 44
! M_tot = 0.00 μB/f.u.
! N(E_F) = 2.55 states/eV/f.u.
&SYSTEM
  ibrav = 0, nat = 4, ntyp = 3
/
ATOMIC_SPECIES
Li 6.94 Li.upf
Re 186.21 Re.upf
Ta 180.95 Ta.upf
ATOMIC_POSITIONS crystal
Li 0.029 0.029 0.057
Li 0.726 0.226 0.452
Re 0.485 0.485 0.970
Ta 0.261 0.761 0.522
CELL_PARAMETERS angstrom
3.436 0.000 0.000
0.000 4.354 0.000
-1.718 -2.177 3.700

Model x:
! Li2TaRe GGA-PBEsol optimized geometry; values from VASP
! SG = No. 25
! M_tot = 0.00 μB/f.u.
! N(E_F) = 2.51 states/eV/f.u.
&SYSTEM
  ibrav = 0, nat = 4, ntyp = 3
/
ATOMIC_SPECIES
Li 6.94 Li.upf
Re 186.21 Re.upf
Ta 180.95 Ta.upf
ATOMIC_POSITIONS crystal
Li 0.000 0.000 0.020
Li 0.500 0.500 0.243
Re 0.000 0.000 0.514
Ta 0.500 0.500 0.724
CELL_PARAMETERS angstrom
2.565 0.000 0.000
0.000 4.242 0.000
0.000 0.000 5.838

Most stable structure: model x

Model w:
! LiRe2Tc GGA-PBEsol optimized geometry; values from VASP
! SG = No. 6
! M_tot = 0.00 μB/f.u.
! N(E_F) = 2.76 states/eV/f.u.
&SYSTEM
  ibrav = 0, nat = 4, ntyp = 3
/
ATOMIC_SPECIES
Li 6.94 Li.upf
Re 186.21 Re.upf
Tc 98.00 Tc.upf
ATOMIC_POSITIONS crystal
Li 0.253 0.500 0.747
Re 0.980 0.000 0.991
Re 0.745 0.500 0.248
Tc 0.522 0.000 0.515
CELL_PARAMETERS angstrom
2.593 0.000 -0.001
0.000 4.255 0.000
-0.816 0.000 5.003

Model x:
! LiRe2Tc GGA-PBEsol optimized geometry; values from VASP
! SG = No. 47
! M_tot = 0.00 μB/f.u.
! N(E_F) = 3.05 states/eV/f.u.
&SYSTEM
  ibrav = 0, nat = 4, ntyp = 3
/
ATOMIC_SPECIES
Li 6.94 Li.upf
Re 186.21 Re.upf
Tc 98.00 Tc.upf
ATOMIC_POSITIONS crystal
Li 0.500 0.500 0.500
Re 0.000 0.000 0.742
Re 0.000 0.000 0.258
Tc 0.500 0.500 0.000
CELL_PARAMETERS angstrom
-2.253 1.405 0.345
-2.002 -2.697 -2.091
-0.980 -2.635 4.338

Most stable structure: model w

Model w:
! LiReW2 GGA-PBEsol optimized geometry; values from VASP
! SG = No. 12
! M_tot = 0.00 μB/f.u.
! N(E_F) = 1.83 states/eV/f.u.
&SYSTEM
  ibrav = 0, nat = 4, ntyp = 3
/
ATOMIC_SPECIES
Li 6.94 Li.upf
Re 186.21 Re.upf
W 183.84 W.upf
ATOMIC_POSITIONS crystal
Li 0.500 0.000 0.000
Re 0.500 0.500 0.500
W 0.000 0.500 0.000
W 0.000 0.000 0.500
CELL_PARAMETERS angstrom
-0.130 -2.037 1.660
0.635 -2.521 -4.431
4.112 2.421 1.904

Model x:
! LiReW2 GGA-PBEsol optimized geometry; values from VASP
! SG = No. 71
! M_tot = 0.00 μB/f.u.
! N(E_F) = 2.37 states/eV/f.u.
&SYSTEM
  ibrav = 0, nat = 4, ntyp = 3
/
ATOMIC_SPECIES
Li 6.94 Li.upf
Re 186.21 Re.upf
W 183.84 W.upf
ATOMIC_POSITIONS crystal
Li 0.500 0.000 0.000
Re 0.000 0.500 0.000
W 0.739 0.739 0.478
W 0.261 0.261 0.522
CELL_PARAMETERS angstrom
-3.031 0.220 -0.516
0.582 -1.507 -4.061
0.684 -3.435 3.725

Most stable structure: model w

Model w:
! LiYRe GGA-PBEsol optimized geometry; values from VASP
! SG = No. 216
! M_tot = 1.33 μB/f.u.
! N(E_F) = 4.41 states/eV/f.u.
&SYSTEM
  ibrav = 0, nat = 3, ntyp = 3
/
ATOMIC_SPECIES
Li 6.94 Li.upf
Re 186.21 Re.upf
Y 88.91 Y.upf
ATOMIC_POSITIONS crystal
Li 0.000 0.000 0.000
Re 0.500 0.500 0.500
Y 0.250 0.250 0.250
CELL_PARAMETERS angstrom
4.564 0.000 0.000
2.282 3.953 0.000
2.282 1.318 3.727

Model x:
! LiYRe GGA-PBEsol optimized geometry; values from VASP
! SG = No. 156
! M_tot = 0.00 μB/f.u.
! N(E_F) = 1.84 states/eV/f.u.
&SYSTEM
  ibrav = 0, nat = 3, ntyp = 3
/
ATOMIC_SPECIES
Li 6.94 Li.upf
Re 186.21 Re.upf
Y 88.91 Y.upf
ATOMIC_POSITIONS crystal
Li 0.869 0.000 0.000
Re 0.808 0.333 0.667
Y 0.323 0.667 0.333
CELL_PARAMETERS angstrom
2.751 0.000 0.000
0.000 4.741 0.000
0.000 -2.371 4.106

Model y:
! LiYRe GGA-PBEsol optimized geometry; values from VASP
! SG = No. 42
! M_tot = 0.00 μB/f.u.
! N(E_F) = 2.56 states/eV/f.u.
&SYSTEM
  ibrav = 0, nat = 3, ntyp = 3
/
ATOMIC_SPECIES
Li 6.94 Li.upf
Re 186.21 Re.upf
Y 88.91 Y.upf
ATOMIC_POSITIONS crystal
Li 0.019 0.019 0.039
Re 0.664 0.664 0.328
Y 0.317 0.317 0.634
CELL_PARAMETERS angstrom
2.846 -0.004 0.000
-0.989 2.669 0.000
-0.929 -1.332 7.400

Most stable structure: model x

Model w:
! LiYRe2 GGA-PBEsol optimized geometry; values from VASP
! SG = No. 8
! M_tot = 0.00 μB/f.u.
! N(E_F) = 3.20 states/eV/f.u.
&SYSTEM
  ibrav = 0, nat = 4, ntyp = 3
/
ATOMIC_SPECIES
Li 6.94 Li.upf
Re 186.21 Re.upf
Y 88.91 Y.upf
ATOMIC_POSITIONS crystal
Li 0.264 0.528 0.791
Re 0.006 0.011 0.026
Re 0.732 0.464 0.171
Y 0.499 0.997 0.512
CELL_PARAMETERS angstrom
-2.010 1.335 -2.044
-1.886 -3.470 2.035
-1.183 3.926 3.726

Model x:
! LiYRe2 GGA-PBEsol optimized geometry; values from VASP
! SG = No. 35
! M_tot = 0.00 μB/f.u.
! N(E_F) = 2.69 states/eV/f.u.
&SYSTEM
  ibrav = 0, nat = 4, ntyp = 3
/
ATOMIC_SPECIES
Li 6.94 Li.upf
Re 186.21 Re.upf
Y 88.91 Y.upf
ATOMIC_POSITIONS crystal
Li 0.500 0.500 0.215
Re 0.000 0.000 0.986
Re 0.500 0.500 0.775
Y 0.000 0.000 0.523
CELL_PARAMETERS angstrom
2.782 -0.002 0.000
-1.041 2.580 0.000
0.000 0.000 9.741

Most stable structure: model w

Model w:
! LiZr2Re GGA-PBEsol optimized geometry; values from VASP
! SG = No. 10
! M_tot = 0.00 μB/f.u.
! N(E_F) = 3.67 states/eV/f.u.
&SYSTEM
  ibrav = 0, nat = 4, ntyp = 3
/
ATOMIC_SPECIES
Li 6.94 Li.upf
Re 186.21 Re.upf
Zr 91.22 Zr.upf
ATOMIC_POSITIONS crystal
Li 0.500 0.500 0.000
Re 0.500 0.500 0.500
Zr 0.902 0.000 0.730
Zr 0.098 0.000 0.270
CELL_PARAMETERS angstrom
2.851 0.000 0.007
0.000 4.231 0.000
-1.107 0.000 6.109

Model x:
! LiZr2Re GGA-PBEsol optimized geometry; values from VASP
! SG = No. 225
! M_tot = 0.00 μB/f.u.
! N(E_F) = 3.22 states/eV/f.u.
&SYSTEM
  ibrav = 0, nat = 4, ntyp = 3
/
ATOMIC_SPECIES
Re 186.21 Re.upf
Zr 91.22 Zr.upf
Li 6.94 Li.upf
ATOMIC_POSITIONS crystal
Re 0.500 0.500 0.500
Zr 0.250 0.250 0.250
Zr 0.750 0.750 0.750
Li 0.000 0.000 0.000
CELL_PARAMETERS angstrom
4.633 0.000 0.000
2.317 4.012 0.000
2.317 1.337 3.783

Most stable structure: model x

Model w:
! SrLi2Rh GGA-PBEsol optimized geometry; values from VASP
! SG = No. 160
! M_tot = 0.00 μB/f.u.
! N(E_F) = 2.28 states/eV/f.u.
&SYSTEM
  ibrav = 0, nat = 4, ntyp = 3
/
ATOMIC_SPECIES
Sr 87.62 Sr.upf
Rh 102.91 Rh.upf
Li 6.94 Li.upf
ATOMIC_POSITIONS crystal
Sr 0.759 0.759 0.723
Rh 0.554 0.554 0.338
Li 0.950 0.950 0.149
Li 0.244 0.244 0.267
CELL_PARAMETERS angstrom
4.354 0.000 0.000
2.177 3.770 0.000
2.177 1.257 5.125

Model x:
! SrLi2Rh GGA-PBEsol optimized geometry; values from VASP
! SG = No. 123
! M_tot = 0.00 μB/f.u.
! N(E_F) = 1.81 states/eV/f.u.
&SYSTEM
  ibrav = 0, nat = 4, ntyp = 3
/
ATOMIC_SPECIES
Li 6.94 Li.upf
Rh 102.91 Rh.upf
Sr 87.62 Sr.upf
ATOMIC_POSITIONS crystal
Li 0.000 0.500 0.000
Li 0.500 0.000 0.000
Rh 0.500 0.500 0.500
Sr 0.000 0.000 0.500
CELL_PARAMETERS angstrom
-3.409 -0.516 -2.367
2.414 -0.390 -3.392
0.215 -4.489 0.669

Model y:
! SrLi2Rh GGA-PBEsol optimized geometry; values from VASP
! SG = No. 12
! M_tot = 0.00 μB/f.u.
! N(E_F) = 1.71 states/eV/f.u.
&SYSTEM
  ibrav = 0, nat = 4, ntyp = 3
/
ATOMIC_SPECIES
Sr 87.62 Sr.upf
Rh 102.91 Rh.upf
Li 6.94 Li.upf
ATOMIC_POSITIONS crystal
Sr 0.000 0.000 0.500
Rh 0.500 0.000 0.000
Li 0.798 0.597 0.801
Li 0.202 0.403 0.199
CELL_PARAMETERS angstrom
-2.819 0.608 -1.791
3.490 -3.197 -3.361
-2.620 -2.595 3.243

Most stable structure: model w

Model w:
! Li2TaRh GGA-PBEsol optimized geometry; values from VASP
! SG = No. 10
! M_tot = 0.00 μB/f.u.
! N(E_F) = 2.61 states/eV/f.u.
&SYSTEM
  ibrav = 0, nat = 4, ntyp = 3
/
ATOMIC_SPECIES
Li 6.94 Li.upf
Rh 102.91 Rh.upf
Ta 180.95 Ta.upf
ATOMIC_POSITIONS crystal
Li 0.200 0.267 0.000
Li 0.800 0.733 0.000
Rh 0.000 0.500 0.500
Ta 0.500 0.000 0.500
CELL_PARAMETERS angstrom
2.752 0.003 0.000
-0.214 4.530 0.000
0.000 0.000 4.817

Model x:
! Li2TaRh GGA-PBEsol optimized geometry; values from VASP
! SG = No. 65
! M_tot = 0.01 μB/f.u.
! N(E_F) = 3.48 states/eV/f.u.
&SYSTEM
  ibrav = 0, nat = 4, ntyp = 3
/
ATOMIC_SPECIES
Li 6.94 Li.upf
Rh 102.91 Rh.upf
Ta 180.95 Ta.upf
ATOMIC_POSITIONS crystal
Li 0.000 0.000 0.278
Li 0.000 0.000 0.722
Rh 0.500 0.500 0.500
Ta 0.500 0.500 0.000
CELL_PARAMETERS angstrom
-0.834 2.481 -0.368
0.406 -1.369 -2.224
-8.972 -2.986 0.202

Model y:
! Li2TaRh GGA-PBEsol optimized geometry; values from VASP
! SG = No. 123
! M_tot = 0.00 μB/f.u.
! N(E_F) = 2.50 states/eV/f.u.
&SYSTEM
  ibrav = 0, nat = 4, ntyp = 3
/
ATOMIC_SPECIES
Li 6.94 Li.upf
Rh 102.91 Rh.upf
Ta 180.95 Ta.upf
ATOMIC_POSITIONS crystal
Li 0.000 0.000 0.784
Li 0.000 0.000 0.216
Rh 0.500 0.500 0.000
Ta 0.500 0.500 0.500
CELL_PARAMETERS angstrom
-2.707 1.710 -0.235
-0.051 -0.516 -3.168
-2.778 -4.295 0.745

Most stable structure: model w

Model w:
! Li2TcRh GGA-PBEsol optimized geometry; values from VASP
! SG = No. 47
! M_tot = 0.00 μB/f.u.
! N(E_F) = 3.62 states/eV/f.u.
&SYSTEM
  ibrav = 0, nat = 4, ntyp = 3
/
ATOMIC_SPECIES
Li 6.94 Li.upf
Rh 102.91 Rh.upf
Tc 98.00 Tc.upf
ATOMIC_POSITIONS crystal
Li 0.000 0.000 0.754
Li 0.000 0.000 0.246
Rh 0.500 0.500 0.000
Tc 0.500 0.500 0.500
CELL_PARAMETERS angstrom
2.549 0.000 0.000
0.000 4.319 0.000
0.000 0.000 4.856

Model x:
! Li2TcRh GGA-PBEsol optimized geometry; values from VASP
! SG = No. 123
! M_tot = 0.00 μB/f.u.
! N(E_F) = 3.14 states/eV/f.u.
&SYSTEM
  ibrav = 0, nat = 4, ntyp = 3
/
ATOMIC_SPECIES
Li 6.94 Li.upf
Rh 102.91 Rh.upf
Tc 98.00 Tc.upf
ATOMIC_POSITIONS crystal
Li 0.000 0.000 0.762
Li 0.000 0.000 0.238
Rh 0.500 0.500 0.000
Tc 0.500 0.500 0.500
CELL_PARAMETERS angstrom
2.490 0.000 0.000
0.000 2.490 0.000
0.000 0.000 8.648

Most stable structure: model x

Model w:
! LiTcRh2 GGA-PBEsol optimized geometry; values from VASP
! SG = No. 123
! M_tot = 1.13 μB/f.u.
! N(E_F) = 4.71 states/eV/f.u.
&SYSTEM
  ibrav = 0, nat = 4, ntyp = 3
/
ATOMIC_SPECIES
Li 6.94 Li.upf
Rh 102.91 Rh.upf
Tc 98.00 Tc.upf
ATOMIC_POSITIONS crystal
Li 0.500 0.000 0.000
Rh 0.000 0.000 0.500
Rh 0.000 0.500 0.000
Tc 0.500 0.500 0.500
CELL_PARAMETERS angstrom
-2.487 2.215 -0.646
-2.544 -2.973 -0.400
-0.827 0.191 3.840

Model x:
! LiTcRh2 GGA-PBEsol optimized geometry; values from VASP
! SG = No. 123
! M_tot = 0.00 μB/f.u.
! N(E_F) = 2.70 states/eV/f.u.
&SYSTEM
  ibrav = 0, nat = 4, ntyp = 3
/
ATOMIC_SPECIES
Rh 102.91 Rh.upf
Tc 98.00 Tc.upf
Li 6.94 Li.upf
ATOMIC_POSITIONS crystal
Rh 0.000 0.000 0.738
Rh 0.000 0.000 0.262
Tc 0.500 0.500 0.000
Li 0.500 0.500 0.500
CELL_PARAMETERS angstrom
2.773 0.000 0.000
0.000 2.773 0.000
0.000 0.000 6.640

Model y:
! LiTcRh2 GGA-PBEsol optimized geometry; values from VASP
! SG = No. 65
! M_tot = 0.00 μB/f.u.
! N(E_F) = 4.54 states/eV/f.u.
&SYSTEM
  ibrav = 0, nat = 4, ntyp = 3
/
ATOMIC_SPECIES
Li 6.94 Li.upf
Rh 102.91 Rh.upf
Tc 98.00 Tc.upf
ATOMIC_POSITIONS crystal
Li 0.500 0.500 0.000
Rh 0.000 0.000 0.249
Rh 0.000 0.000 0.751
Tc 0.500 0.500 0.500
CELL_PARAMETERS angstrom
2.642 -0.006 0.000
-1.208 2.350 0.000
0.000 0.000 8.794

Most stable structure: model x

Model w:
! LiTl2Rh GGA-PBEsol optimized geometry; values from VASP
! SG = No. 99
! M_tot = 0.00 μB/f.u.
! N(E_F) = 1.69 states/eV/f.u.
&SYSTEM
  ibrav = 0, nat = 4, ntyp = 3
/
ATOMIC_SPECIES
Tl 204.38 Tl.upf
Rh 102.91 Rh.upf
Li 6.94 Li.upf
ATOMIC_POSITIONS crystal
Tl 0.000 0.000 0.945
Tl 0.500 0.500 0.298
Rh 0.500 0.500 0.719
Li 0.000 0.000 0.538
CELL_PARAMETERS angstrom
-3.023 -1.303 -0.482
1.304 -3.060 0.097
-0.979 -0.204 6.697

Model x:
! LiTl2Rh GGA-PBEsol optimized geometry; values from VASP
! SG = No. 225
! M_tot = 0.00 μB/f.u.
! N(E_F) = 1.59 states/eV/f.u.
&SYSTEM
  ibrav = 0, nat = 4, ntyp = 3
/
ATOMIC_SPECIES
Tl 204.38 Tl.upf
Rh 102.91 Rh.upf
Li 6.94 Li.upf
ATOMIC_POSITIONS crystal
Tl 0.750 0.750 0.750
Tl 0.250 0.250 0.250
Rh 0.000 0.000 0.000
Li 0.500 0.500 0.500
CELL_PARAMETERS angstrom
-1.652 3.897 1.964
-3.176 -0.271 3.408
1.181 1.086 4.381

Most stable structure: model x

Model w:
! LiTl2Rh GGA-PBEsol optimized geometry; values from VASP
! SG = No. 47
! M_tot = 0.00 μB/f.u.
! N(E_F) = 1.38 states/eV/f.u.
&SYSTEM
  ibrav = 0, nat = 4, ntyp = 3
/
ATOMIC_SPECIES
Tl 204.38 Tl.upf
Rh 102.91 Rh.upf
Li 6.94 Li.upf
ATOMIC_POSITIONS crystal
Tl 0.000 0.000 0.744
Tl 0.000 0.000 0.256
Rh 0.500 0.500 0.500
Li 0.500 0.500 0.000
CELL_PARAMETERS angstrom
3.186 0.000 0.000
0.000 3.648 0.000
0.000 0.000 6.266

Model x:
! LiTl2Rh GGA-PBEsol optimized geometry; values from VASP
! SG = No. 119
! M_tot = 0.00 μB/f.u.
! N(E_F) = 1.68 states/eV/f.u.
&SYSTEM
  ibrav = 0, nat = 4, ntyp = 3
/
ATOMIC_SPECIES
Tl 204.38 Tl.upf
Rh 102.91 Rh.upf
Li 6.94 Li.upf
ATOMIC_POSITIONS crystal
Tl 0.000 0.000 0.000
Tl 0.750 0.250 0.500
Rh 0.250 0.750 0.500
Li 0.500 0.500 0.000
CELL_PARAMETERS angstrom
-1.786 -3.481 -0.682
1.432 -0.009 -3.705
3.932 -0.467 3.651

Most stable structure: model w

Model w:
! Li2RhW GGA-PBEsol optimized geometry; values from VASP
! SG = No. 139
! M_tot = 0.00 μB/f.u.
! N(E_F) = 2.38 states/eV/f.u.
&SYSTEM
  ibrav = 0, nat = 4, ntyp = 3
/
ATOMIC_SPECIES
Li 6.94 Li.upf
Rh 102.91 Rh.upf
W 183.84 W.upf
ATOMIC_POSITIONS crystal
Li 0.750 0.250 0.500
Li 0.250 0.750 0.500
Rh 0.500 0.500 0.000
W 0.000 0.000 0.000
CELL_PARAMETERS angstrom
-1.570 3.096 -0.687
-3.145 -1.420 0.785
2.890 0.403 4.328

Model x:
! Li2RhW GGA-PBEsol optimized geometry; values from VASP
! SG = No. 47
! M_tot = 0.00 μB/f.u.
! N(E_F) = 2.34 states/eV/f.u.
&SYSTEM
  ibrav = 0, nat = 4, ntyp = 3
/
ATOMIC_SPECIES
Li 6.94 Li.upf
Rh 102.91 Rh.upf
W 183.84 W.upf
ATOMIC_POSITIONS crystal
Li 0.000 0.000 0.000
Li 0.500 0.500 0.000
Rh 0.500 0.000 0.500
W 0.000 0.500 0.500
CELL_PARAMETERS angstrom
2.749 0.000 0.000
0.000 4.382 0.000
0.000 0.000 4.705

Most stable structure: model x